No. 1
Material: SrYBeTe2
Method: DFT, GGA-PBE
State: optimized geometry

abc: 5.325 4.943 5.325
angles: 90.00 90.00 90.00
Atoms (fractional coordinates):
Y 0.500 0.500 0.500
Te 0.000 0.000 0.500
Te 0.500 0.000 0.000
Be 0.000 0.000 0.000
Sr 0.000 0.500 0.000

## Properties
ΔE_f (raw): -0.048 eV per atom
SG: No. 123

No. 2
Material: SrTiBe2
Method: DFT, GGA-PBE
State: optimized geometry

abc: 4.720 4.720 4.720
angles: 60.00 60.00 60.00
Atoms (fractional coordinates):
Sr 0.500 0.500 0.500
Be 0.250 0.250 0.250
Be 0.750 0.750 0.750
Ti 0.000 0.000 0.000

## Properties
offset from the most stable computed form: 0 meV/atom
SG: No. 225

No. 3
Material: SrTiBe3
Method: DFT, GGA-PBE
State: optimized geometry

abc: 4.728 4.728 4.728
angles: 90.00 90.00 90.00
Atoms (fractional coordinates):
Be 0.500 0.000 0.000
Be 0.000 0.000 0.500
Be 0.000 0.500 0.000
Sr 0.500 0.500 0.500
Ti 0.000 0.000 0.000

## Properties
offset from the most stable computed form: 0 meV/atom
SG: No. 221

No. 4
Material: SrTi3Be
Method: DFT, GGA-PBE
State: optimized geometry

abc: 4.694 4.694 4.694
angles: 90.00 90.00 90.00
Atoms (fractional coordinates):
Sr 0.000 0.000 0.000
Ti 0.000 0.000 0.500
Ti 0.000 0.500 0.000
Ti 0.500 0.000 0.000
Be 0.500 0.500 0.500

## Properties
offset from the most stable computed form: 1531 meV/atom
SG: No. 221

No. 5
Material: SrTi3Be
Method: DFT, GGA-PBE
State: optimized geometry

abc: 4.713 4.713 4.713
angles: 90.00 90.00 90.00
Atoms (fractional coordinates):
Be 0.000 0.000 0.000
Ti 0.000 0.000 0.500
Ti 0.500 0.000 0.000
Ti 0.000 0.500 0.000
Sr 0.500 0.500 0.500

## Properties
offset from the most stable computed form: 0 meV/atom
SG: No. 221

No. 6
Material: SrTi2Be
Method: DFT, GGA-PBE
State: optimized geometry

abc: 4.512 4.512 10.261
angles: 77.30 77.30 90.00
Atoms (fractional coordinates):
Sr 0.750 0.250 0.500
Sr 0.000 0.000 0.000
Ti 0.375 0.591 0.750
Ti 0.409 0.125 0.250
Ti 0.341 0.625 0.250
Ti 0.875 0.659 0.750
Be 0.500 0.500 0.000
Be 0.250 0.750 0.500

## Properties
SG: No. 122

No. 7
Material: SrTiBe3
Method: DFT, GGA-PBE
State: optimized geometry

abc: 4.704 4.704 4.704
angles: 90.00 90.00 90.00
Atoms (fractional coordinates):
Be 0.500 0.000 0.000
Be 0.000 0.000 0.500
Be 0.000 0.500 0.000
Ti 0.500 0.500 0.500
Sr 0.000 0.000 0.000

## Properties
offset from the most stable computed form: 1280 meV/atom
SG: No. 221

No. 8
Material: Sr2TiBe
Method: DFT, GGA-PBE
State: optimized geometry

abc: 11.218 11.218 8.281
angles: 47.37 47.37 90.00
Atoms (fractional coordinates):
Be 0.250 0.750 0.500
Be 0.500 0.500 0.000
Ti 0.750 0.250 0.500
Ti 0.000 0.000 0.000
Sr 0.875 0.713 0.750
Sr 0.375 0.537 0.750
Sr 0.463 0.125 0.250
Sr 0.287 0.625 0.250

## Properties
SG: No. 122

No. 9
Material: SrTiBe2
Method: DFT, GGA-PBE
State: optimized geometry

abc: 4.545 4.545 9.384
angles: 75.98 75.98 90.00
Atoms (fractional coordinates):
Sr 0.000 0.000 0.000
Sr 0.750 0.250 0.500
Be 0.875 0.625 0.750
Be 0.375 0.625 0.250
Be 0.375 0.125 0.250
Be 0.375 0.625 0.750
Ti 0.250 0.750 0.500
Ti 0.500 0.500 0.000

## Properties
offset from the most stable computed form: 131 meV/atom
SG: No. 141

No. 10
Material: SrBeTl2
Method: DFT, GGA-PBE
State: optimized geometry

abc: 3.676 3.676 7.864
angles: 90.00 90.00 102.07
Atoms (fractional coordinates):
Tl 0.000 0.000 0.445
Tl 0.000 0.000 0.055
Sr 0.500 0.500 0.750
Be 0.500 0.500 0.250

## Properties
offset from the most stable computed form: 148 meV/atom
SG: No. 65

No. 11
Material: Sr2BeTl
Method: DFT, GGA-PBE
State: optimized geometry

abc: 5.490 5.490 5.490
angles: 60.00 60.00 60.00
Atoms (fractional coordinates):
Be 0.500 0.500 0.500
Sr 0.000 0.000 0.000
Sr 0.250 0.250 0.250
Tl 0.750 0.750 0.750

## Properties
offset from the most stable computed form: 329 meV/atom
SG: No. 216

No. 12
Material: Sr2BeTl
Method: DFT, GGA-PBE
State: optimized geometry

abc: 6.141 6.141 6.141
angles: 133.00 133.00 68.65
Atoms (fractional coordinates):
Be 0.750 0.250 0.500
Sr 0.250 0.750 0.500
Sr 0.000 0.000 0.000
Tl 0.500 0.500 0.000

## Properties
offset from the most stable computed form: 274 meV/atom
SG: No. 119

Quick rundown of size of the total moment, same order as above: 1.0 0.0 3.2 1.4 1.1 0.0 0.8 2.8 2.6 0.0 0.0 0.0 μB per formula unit
Quick rundown of DFT total energy, same order as above: -3.679 -3.560 -3.229 -3.634 -5.164 -4.394 -1.949 -2.964 -3.429 -2.349 -2.024 -2.079 eV per atom
Quick rundown of D(E_F), same order as above: 0.5452 1.5540 0.8377 0.9939 2.0540 1.4587 0.6551 1.5096 1.0965 0.2748 0.4540 0.7139 states/eV/atom